No. 1
A plane-wave DFT calculation with GGA-PBE was carried out for an optimized crystal structure of CsNaSb.

Cell and atoms, written as extended XYZ:
```
6
Lattice="6.143 0.198 0.310 3.242 5.221 0.310 3.862 2.230 8.525" Properties=species:S:1:pos:R:3 pbc="T T T"
Cs 5.044 2.913 5.698
Cs 8.203 4.737 3.448
Na 1.882 1.087 0.944
Na 11.365 6.563 8.202
Sb 5.283 3.050 1.626
Sb 7.964 4.599 7.519
```

Computed properties:
Its symmetry is No. 12. The value obtained for the relative energy among the computed polymorphs is 1.6 kJ/mol of atoms. The calculation puts the total magnetization at 0.00 Bohr magnetons per cell. The total energy is -14.8 eV/cell.

No. 2
A plane-wave DFT calculation with GGA-PBE was carried out for an optimized crystal structure of HfTlIn2.

Cell and atoms, written as extended XYZ:
```
4
Lattice="0.000 3.701 3.701 3.701 0.000 3.701 3.701 3.701 0.000" Properties=species:S:1:pos:R:3 pbc="T T T"
In 5.552 5.552 5.552
In 1.851 1.851 1.851
Hf 0.000 0.000 0.000
Tl 3.701 3.701 3.701
```

Computed properties:
Its symmetry is No. 225. The value obtained for the relative energy among the computed polymorphs is 25.3 kJ/mol of atoms. The calculation puts the total magnetization at 0.00 Bohr magnetons per cell. The total energy is -16.4 eV/cell. Its formation energy is 0.339 eV/atom.

No. 3
A plane-wave DFT calculation with GGA-PBE was carried out for an optimized crystal structure of Mg2CoPW.

Cell and atoms, written as extended XYZ:
```
5
Lattice="-4.586 0.413 -0.603 0.320 -2.309 -4.016 -0.639 -3.894 2.188" Properties=species:S:1:pos:R:3 pbc="T T T"
P 0.000 0.000 0.000
Mg -2.293 0.207 -0.302
Mg 0.160 -1.155 -2.008
W -0.319 -1.947 1.094
Co -2.452 -2.895 -1.216
```

Computed properties:
Its symmetry is No. 123. The value obtained for the relative energy among the computed polymorphs is 0.0 kJ/mol of atoms. The calculation puts the total magnetization at 1.69 Bohr magnetons per cell. The total energy is -24.6 eV/cell. Its formation energy is 0.811 eV/atom.